YFeCu2: optimized geometry, PBE-GGA.

Cell and atoms, written as POSCAR:
```
YFeCu2
1.0
0.0000 3.1573 3.1573
3.1573 0.0000 3.1573
3.1573 3.1573 0.0000
Cu Fe Y
2 1 1
Direct
0.0000 0.0000 0.0000
0.2500 0.2500 0.2500
0.7500 0.7500 0.7500
0.5000 0.5000 0.5000
```

Computed properties:
SG: F-43m
ΔE_f: 223 meV/atom